Compound: NpMnZnH6
Source: Alexandria
Functional: GGA-PBE
Structure: optimized geometry

Cell: 4.4000 4.4000 4.2956 Å, 90.00 90.00 120.00°
Element x y z (fractional)
Np  0.0000  0.0000  0.0000
Mn  0.6667  0.3333  0.5000
Zn  0.3333  0.6667  0.5000
H  0.5155  0.0309  0.2215
H  0.5155  0.0309  0.7785
H  0.5155  0.4845  0.2215
H  0.5155  0.4845  0.7785
H  0.9691  0.4845  0.2215
H  0.9691  0.4845  0.7785

=====

Compound: Pu2BCl
Source: Alexandria
Functional: GGA-PBE
Structure: optimized geometry

Cell: 7.1797 7.1797 7.1797 Å, 31.03 31.03 31.03°
Element x y z (fractional)
Pu  0.2306  0.2306  0.2306
Pu  0.7694  0.7694  0.7694
B  0.5000  0.5000  0.5000
Cl  0.0000  0.0000  0.0000

=====

Compound: KLiCuH3
Source: Alexandria
Functional: GGA-PBE
Structure: optimized geometry

Cell: 5.6679 5.6679 5.2781 Å, 90.00 90.00 123.98°
Element x y z (fractional)
K  0.2479  0.7521  0.7500
K  0.7521  0.2479  0.2500
Li  0.0573  0.9427  0.2500
Li  0.9427  0.0573  0.7500
Cu  0.4430  0.5570  0.2500
Cu  0.5570  0.4430  0.7500
H  0.2672  0.2672  0.0000
H  0.2672  0.2672  0.5000
H  0.2741  0.7259  0.2500
H  0.7259  0.2741  0.7500
H  0.7328  0.7328  0.0000
H  0.7328  0.7328  0.5000

=====

Compound: La2CoMo2
Source: Alexandria
Functional: GGA-PBE
Structure: optimized geometry

Cell: 6.5810 6.5810 6.5810 Å, 139.41 139.41 58.75°
Element x y z (fractional)
La  0.2500  0.7500  0.5000
La  0.7500  0.2500  0.5000
Co  0.0000  0.0000  0.0000
Mo  0.4041  0.4041  0.0000
Mo  0.5959  0.5959  0.0000

Values from the calculation:
energy of formation from the pure elements: 1.5164 eV/atom
energy above the most stable polymorph in this dataset: 1070 meV per atom

=====

Compound: Ho4Zr3O12
Source: Alexandria
Functional: GGA-PBE
Structure: optimized geometry

Cell: 6.3473 6.4017 6.5882 Å, 99.88 98.61 99.49°
Element x y z (fractional)
Ho  0.1133  0.3013  0.1347
Ho  0.1954  0.8653  0.3894
Ho  0.8046  0.1347  0.6106
Ho  0.8867  0.6987  0.8653
Zr  0.3475  0.3964  0.6696
Zr  0.5000  0.0000  0.0000
Zr  0.6525  0.6036  0.3304
O  0.0852  0.1873  0.4324
O  0.0846  0.4164  0.8213
O  0.1840  0.9330  0.0603
O  0.3261  0.5700  0.4244
O  0.4207  0.0851  0.6926
O  0.4742  0.3216  0.1166
O  0.5258  0.6784  0.8834
O  0.5793  0.9149  0.3074
O  0.6739  0.4300  0.5756
O  0.8160  0.0670  0.9397
O  0.9154  0.5836  0.1787
O  0.9148  0.8127  0.5676

Values from the calculation:
energy above the most stable polymorph in this dataset: 0 meV per atom

=====

Compound: LiCuP2
Source: Alexandria
Functional: GGA-PBE
Structure: optimized geometry

Cell: 5.6470 5.6470 5.6470 Å, 146.91 141.17 51.92°
Element x y z (fractional)
Li  0.0000  0.0000  0.0000
Cu  0.7386  0.2386  0.5000
P  0.2155  0.7155  0.5000
P  0.3840  0.3840  0.0000

Values from the calculation:
energy of formation from the pure elements: -0.0754 eV/atom
energy above the most stable polymorph in this dataset: 89 meV per atom

=====

Compound: LaCoPb2
Source: Alexandria
Functional: GGA-PBE
Structure: optimized geometry

Cell: 11.0310 11.0310 11.0310 Å, 155.81 155.81 34.47°
Element x y z (fractional)
La  0.0000  0.0000  0.0000
La  0.7500  0.2500  0.5000
Co  0.2500  0.7500  0.5000
Co  0.5000  0.5000  0.0000
Pb  0.1713  0.6250  0.0463
Pb  0.3750  0.4213  0.5463
Pb  0.5787  0.1250  0.9537
Pb  0.8750  0.8287  0.4537

Values from the calculation:
energy of formation from the pure elements: 0.2457 eV/atom
energy above the most stable polymorph in this dataset: 421 meV per atom

=====

Compound: Sr2LiCr
Source: Alexandria
Functional: GGA-PBE
Structure: optimized geometry

Cell: 6.6477 6.6477 6.6477 Å, 136.38 136.38 63.40°
Element x y z (fractional)
Sr  0.0000  0.0000  0.0000
Sr  0.7500  0.2500  0.5000
Li  0.5000  0.5000  0.0000
Cr  0.2500  0.7500  0.5000

Values from the calculation:
energy of formation from the pure elements: 0.4804 eV/atom
energy above the most stable polymorph in this dataset: 92 meV per atom

=====

Compound: Pm2InI
Source: Alexandria
Functional: GGA-PBE
Structure: optimized geometry

Cell: 3.7203 3.7203 8.5689 Å, 90.00 90.00 90.00°
Element x y z (fractional)
Pm  0.0000  0.0000  0.2355
Pm  0.0000  0.0000  0.7645
In  0.5000  0.5000  0.0000
I  0.5000  0.5000  0.5000

Values from the calculation:
energy above the most stable polymorph in this dataset: 13 meV per atom

=====

Compound: Al3Zn4
Source: Alexandria
Functional: GGA-PBE
Structure: optimized geometry

Cell: 5.4151 5.4151 4.6974 Å, 90.00 90.00 120.00°
Element x y z (fractional)
Al  0.0000  0.5000  0.0000
Al  0.5000  0.0000  0.0000
Al  0.5000  0.5000  0.0000
Zn  0.0000  0.0000  0.2519
Zn  0.0000  0.0000  0.7481
Zn  0.3333  0.6667  0.5000
Zn  0.6667  0.3333  0.5000

Values from the calculation:
energy of formation from the pure elements: 0.1522 eV/atom
energy above the most stable polymorph in this dataset: 120 meV per atom

=====

no.,total DFT energy (no corrections) (eV/atom),calculated volume (Å³/cell),calculated density (Mg/m³)
1,-4.882,72.0,8.38
2,-9.774,87.2,10.17
3,-2.981,140.6,2.66
4,-6.208,119.5,7.34
5,-8.964,255.7,7.31
6,-4.283,61.3,3.59
7,-4.617,225.1,9.03
8,-3.245,138.0,2.82
9,-4.073,118.6,7.44
10,-2.180,119.3,4.77